#one
An optimized crystal structure of ZnBrOF2. Source: Alexandria, functional PBE.

Cell lengths 3.708, 3.708, 5.461 Å; angles 90.00, 90.00, 90.00 degrees
Element x y z (fractional)
O 0.000 0.000 0.500
Zn 0.000 0.000 0.000
F 0.000 0.500 0.000
F 0.500 0.000 0.000
Br 0.500 0.500 0.500

Summary:
- SG: P4/mmm, No. 123

#two
An optimized crystal structure of ZnBrOF2. Source: Alexandria, functional PBE.

Cell lengths 4.526, 4.526, 4.019 Å; angles 90.00, 90.00, 90.00 degrees
Element x y z (fractional)
Br 0.000 0.000 0.000
F 0.000 0.500 0.000
F 0.500 0.000 0.000
Zn 0.500 0.500 0.500
O 0.000 0.000 0.500

Summary:
- SG: P4/mmm, No. 123

Stability summary: most stable #one, least stable #two.

#one
An optimized crystal structure of Os2BrF. Source: Alexandria, functional PBE.

Cell lengths 6.873, 6.873, 5.500 Å; angles 51.33, 51.33, 90.00 degrees
Element x y z (fractional)
Os 0.578 0.125 0.250
Os 0.172 0.625 0.250
Os 0.875 0.828 0.750
Os 0.375 0.422 0.750
Br 0.000 0.000 0.000
Br 0.750 0.250 0.500
F 0.250 0.750 0.500
F 0.500 0.500 0.000

Summary:
- SG: I-42d, No. 122

#two
An optimized crystal structure of Os2BrF. Source: Alexandria, functional PBE.

Cell lengths 4.298, 4.298, 4.298 Å; angles 60.00, 60.00, 60.00 degrees
Element x y z (fractional)
F 0.000 0.000 0.000
Os 0.750 0.750 0.750
Os 0.250 0.250 0.250
Br 0.500 0.500 0.500

Summary:
- SG: Fm-3m, No. 225

Stability summary: most stable #one, least stable #two.

#one
An optimized crystal structure of OsSe2BrF. Source: Alexandria, functional PBE.

Cell lengths 4.763, 4.763, 5.194 Å; angles 90.00, 90.00, 90.00 degrees
Element x y z (fractional)
F 0.500 0.500 0.500
Se 0.000 0.500 0.000
Se 0.500 0.000 0.000
Br 0.000 0.000 0.500
Os 0.000 0.000 0.000

Summary:
- SG: P4/mmm, No. 123

#two
An optimized crystal structure of OsSe2BrF. Source: Alexandria, functional PBE.

Cell lengths 4.893, 4.182, 4.893 Å; angles 90.00, 90.00, 90.00 degrees
Element x y z (fractional)
Os 0.000 0.000 0.000
Se 0.000 0.000 0.500
Se 0.500 0.000 0.000
Br 0.500 0.500 0.500
F 0.000 0.500 0.000

Summary:
- SG: P4/mmm, No. 123

Stability summary: most stable #two, least stable #one.

#one
An optimized crystal structure of P3BrF. Source: Alexandria, functional PBE.

Cell lengths 4.522, 4.522, 4.522 Å; angles 90.00, 90.00, 90.00 degrees
Element x y z (fractional)
Br 0.500 0.500 0.500
F 0.000 0.000 0.000
P 0.500 0.000 0.000
P 0.000 0.500 0.000
P 0.000 0.000 0.500

Summary:
- SG: Pm-3m, No. 221

#two
An optimized crystal structure of P3BrF. Source: Alexandria, functional PBE.

Cell lengths 4.854, 4.854, 4.854 Å; angles 90.00, 90.00, 90.00 degrees
Element x y z (fractional)
P 0.500 0.000 0.000
P 0.000 0.500 0.000
P 0.000 0.000 0.500
F 0.500 0.500 0.500
Br 0.000 0.000 0.000

Summary:
- SG: Pm-3m, No. 221

Stability summary: most stable #one, least stable #two.

#one
An optimized crystal structure of P2BrF. Source: Alexandria, functional PBE.

Cell lengths 4.512, 4.512, 4.512 Å; angles 60.00, 60.00, 60.00 degrees
Element x y z (fractional)
F 0.000 0.000 0.000
P 0.750 0.750 0.750
P 0.250 0.250 0.250
Br 0.500 0.500 0.500

Summary:
- SG: Fm-3m, No. 225

#two
An optimized crystal structure of P2BrF. Source: Alexandria, functional PBE.

Cell lengths 4.058, 4.058, 9.069 Å; angles 77.07, 77.07, 90.00 degrees
Element x y z (fractional)
P 0.544 0.625 0.250
P 0.875 0.456 0.750
P 0.375 0.794 0.750
P 0.206 0.125 0.250
Br 0.000 0.000 0.000
Br 0.750 0.250 0.500
F 0.250 0.750 0.500
F 0.500 0.500 0.000

Summary:
- SG: I-42d, No. 122

Stability summary: most stable #two, least stable #one.

#one
An optimized crystal structure of PPbBr2F. Source: Alexandria, functional PBE.

Cell lengths 4.609, 5.782, 6.711 Å; angles 83.00, 89.07, 66.52 degrees
Element x y z (fractional)
Pb 0.669 0.265 0.253
F 0.044 0.534 0.837
Br 0.944 0.710 0.300
Br 0.316 0.996 0.766
P 0.171 0.274 0.991

Summary:
- SG: P1, No. 1

#two
An optimized crystal structure of PPbBr2F. Source: Alexandria, functional PBE.

Cell lengths 6.636, 4.665, 10.452 Å; angles 90.00, 99.35, 90.00 degrees
Element x y z (fractional)
Br 0.298 0.000 0.649
Br 0.722 0.000 0.465
Br 0.298 0.500 0.149
Br 0.722 0.500 0.965
P 0.993 0.500 0.862
P 0.993 0.000 0.362
F 0.881 0.000 0.212
F 0.881 0.500 0.712
Pb 0.253 0.500 0.423
Pb 0.253 0.000 0.923

Summary:
- SG: Cm, No. 8

#three
An optimized crystal structure of PPbBr2F. Source: Alexandria, functional PBE.

Cell lengths 4.214, 5.752, 7.145 Å; angles 66.68, 74.19, 89.96 degrees
Element x y z (fractional)
P 0.650 0.944 0.240
F 0.214 0.433 0.262
Br 0.185 0.803 0.528
Br 0.451 0.090 0.943
Pb 0.790 0.510 0.104

Summary:
- SG: P1, No. 1

#four
An optimized crystal structure of PPbBr2F. Source: Alexandria, functional PBE.

Cell lengths 4.774, 5.721, 6.159 Å; angles 108.52, 91.78, 113.38 degrees
Element x y z (fractional)
Br 0.684 0.414 0.909
Br 0.282 0.632 0.479
P 0.935 0.884 0.039
F 0.296 0.921 0.074
Pb 0.951 0.999 0.575

Summary:
- SG: P1, No. 1

Stability summary: most stable #two, least stable #three.

#one
An optimized crystal structure of P2SBrF. Source: Alexandria, functional PBE.

Cell lengths 4.004, 4.004, 7.407 Å; angles 90.00, 90.00, 90.00 degrees
Element x y z (fractional)
S 0.000 0.000 0.500
F 0.000 0.000 0.000
P 0.500 0.000 0.000
P 0.000 0.500 0.000
Br 0.500 0.500 0.500

Summary:
- SG: P4/mmm, No. 123

#two
An optimized crystal structure of P2SBrF. Source: Alexandria, functional PBE.

Cell lengths 4.979, 4.979, 4.754 Å; angles 90.00, 90.00, 90.00 degrees
Element x y z (fractional)
F 0.500 0.500 0.500
P 0.500 0.000 0.000
P 0.000 0.500 0.000
Br 0.000 0.000 0.000
S 0.000 0.000 0.500

Summary:
- SG: P4/mmm, No. 123

Stability summary: most stable #one, least stable #two.

#one
An optimized crystal structure of PaBr2F2. Source: Alexandria, functional PBE.

Cell lengths 5.966, 7.076, 6.309 Å; angles 100.30, 90.00, 114.94 degrees
Element x y z (fractional)
Br 0.447 0.736 0.372
Br 0.711 0.264 0.128
Br 0.289 0.736 0.872
Br 0.553 0.264 0.628
F 0.978 0.824 0.514
F 0.022 0.176 0.486
F 0.154 0.176 0.986
F 0.846 0.824 0.014
Pa 0.207 0.000 0.250
Pa 0.793 0.000 0.750

Summary:
- SG: C2/c, No. 15

#two
An optimized crystal structure of PaBr2F2. Source: Alexandria, functional PBE.

Cell lengths 3.959, 4.743, 13.803 Å; angles 90.00, 90.00, 90.00 degrees
Element x y z (fractional)
Pa 0.000 0.000 0.000
Pa 0.000 0.500 0.500
F 0.500 0.500 0.413
F 0.500 0.000 0.087
F 0.500 0.000 0.913
F 0.500 0.500 0.587
Br 0.000 0.500 0.127
Br 0.000 0.000 0.373
Br 0.000 0.000 0.627
Br 0.000 0.500 0.873

Summary:
- SG: Cmmm, No. 65

Stability summary: most stable #two, least stable #one.

#one
An optimized crystal structure of PaBrF4. Source: Alexandria, functional PBE.

Cell lengths 3.633, 7.478, 7.919 Å; angles 90.00, 90.00, 90.00 degrees
Element x y z (fractional)
Br 0.000 0.481 0.250
Br 0.000 0.519 0.750
F 0.500 0.761 0.411
F 0.500 0.761 0.089
F 0.500 0.041 0.250
F 0.500 0.239 0.911
F 0.000 0.000 0.000
F 0.500 0.239 0.589
F 0.000 0.000 0.500
F 0.500 0.959 0.750
Pa 0.000 0.844 0.250
Pa 0.000 0.156 0.750

Summary:
- SG: Pmma, No. 51

#two
An optimized crystal structure of PaBrF4. Source: Alexandria, functional PBE.

Cell lengths 3.986, 6.225, 6.211 Å; angles 56.88, 71.28, 71.33 degrees
Element x y z (fractional)
Pa 0.000 0.000 0.000
Br 0.000 0.500 0.500
F 0.418 0.940 0.224
F 0.807 0.274 0.111
F 0.582 0.060 0.776
F 0.193 0.726 0.889

Summary:
- SG: C2/m, No. 12

Stability summary: most stable #two, least stable #one.

#one
An optimized crystal structure of PaBr2F. Source: Alexandria, functional PBE.

Cell lengths 3.797, 4.607, 8.231 Å; angles 106.22, 103.33, 90.00 degrees
Element x y z (fractional)
Br 0.857 0.865 0.713
Br 0.143 0.152 0.287
F 0.500 0.509 0.000
Pa 0.500 0.009 0.000

Summary:
- SG: Immm, No. 71

#two
An optimized crystal structure of PaBr2F. Source: Alexandria, functional PBE.

Cell lengths 4.144, 4.144, 8.066 Å; angles 75.62, 75.62, 59.98 degrees
Element x y z (fractional)
Br 0.209 0.209 0.364
Br 0.041 0.041 0.886
F 0.792 0.792 0.625
Pa 0.458 0.458 0.625

Summary:
- SG: Cm, No. 8

Stability summary: most stable #one, least stable #two.

#one
An optimized crystal structure of Pb2Br2F. Source: Alexandria, functional PBE.

Cell lengths 6.058, 7.915, 9.027 Å; angles 121.28, 90.00, 112.50 degrees
Element x y z (fractional)
Br 0.668 0.336 0.684
Br 0.013 0.025 0.745
Br 0.332 0.664 0.316
Br 0.987 0.975 0.255
F 0.385 0.771 0.921
F 0.615 0.229 0.079
Pb 0.794 0.588 0.366
Pb 0.206 0.412 0.634
Pb 0.487 0.973 0.761
Pb 0.513 0.027 0.239

Summary:
- SG: C2/m, No. 12

#two
An optimized crystal structure of Pb2Br2F. Source: Alexandria, functional PBE.

Cell lengths 3.880, 3.880, 14.178 Å; angles 90.00, 90.00, 90.00 degrees
Element x y z (fractional)
Pb 0.500 0.500 0.170
Pb 0.500 0.500 0.830
Br 0.500 0.500 0.644
Br 0.500 0.500 0.356
F 0.500 0.500 0.000

Summary:
- SG: P4/mmm, No. 123

Stability summary: most stable #one, least stable #two.

#one
An optimized crystal structure of Pb3BrF5. Source: Alexandria, functional PBE.

Cell lengths 5.525, 5.525, 11.620 Å; angles 71.34, 71.34, 49.83 degrees
Element x y z (fractional)
Br 0.501 0.501 0.733
Pb 0.824 0.824 0.717
Pb 0.905 0.905 0.058
Pb 0.150 0.150 0.311
F 0.338 0.338 0.102
F 0.966 0.966 0.512
F 0.691 0.691 0.228
F 0.760 0.760 0.931
F 0.974 0.974 0.238

Summary:
- SG: Cm, No. 8

#two
An optimized crystal structure of Pb3BrF5. Source: Alexandria, functional PBE.

Cell lengths 3.949, 7.285, 12.684 Å; angles 90.00, 90.00, 105.73 degrees
Element x y z (fractional)
F 0.431 0.862 0.143
F 0.802 0.604 0.446
F 0.802 0.604 0.054
F 0.000 0.000 0.500
F 0.198 0.396 0.946
F 0.431 0.862 0.357
F 0.569 0.138 0.857
F 0.569 0.138 0.643
F 0.000 0.000 0.000
F 0.198 0.396 0.554
Pb 0.621 0.243 0.464
Pb 0.621 0.243 0.036
Pb 0.379 0.757 0.536
Pb 0.871 0.741 0.250
Pb 0.129 0.259 0.750
Pb 0.379 0.757 0.964
Br 0.181 0.362 0.250
Br 0.819 0.638 0.750

Summary:
- SG: Cmcm, No. 63

Stability summary: most stable #two, least stable #one.